# 1
VASP calculation (PBE) on a geometry-optimized Cr2Ni21P6 structure.

The calculation puts the total energy at -729.3 eV for the cell shown.

Geometry as CIF:
```
data_Cr2Ni21P6
_chemical_formula_sum 'Cr8 Ni84 P24'
_cell_length_a 11.027
_cell_length_b 11.027
_cell_length_c 11.027
_cell_angle_alpha 90.00
_cell_angle_beta 90.00
_cell_angle_gamma 90.00
_space_group_name_H-M_alt 'F m -3 m'
_space_group_IT_number 225
_space_group_name_Hall '-F 4 2 3'
loop_
_atom_site_label
_atom_site_fract_x
_atom_site_fract_y
_atom_site_fract_z
Cr1 0.250 0.250 0.250
Ni1 0.000 0.000 0.000
Ni2 0.000 0.174 0.174
Ni3 0.118 0.118 0.382
P1 0.000 0.000 0.264
```

# 2
VASP calculation (PBE) on a geometry-optimized Cr2NiP structure.

The calculation puts the total energy at -30.8 eV for the cell shown.

Geometry as CIF:
```
data_Cr2NiP
_chemical_formula_sum 'Cr2 Ni1 P1'
_cell_length_a 4.105
_cell_length_b 4.105
_cell_length_c 2.655
_cell_angle_alpha 90.00
_cell_angle_beta 90.00
_cell_angle_gamma 90.00
_space_group_name_H-M_alt 'P 4/m m m'
_space_group_IT_number 123
_space_group_name_Hall '-P 4 2'
loop_
_atom_site_label
_atom_site_fract_x
_atom_site_fract_y
_atom_site_fract_z
Cr1 0.000 0.500 0.000
Ni1 0.000 0.000 0.500
P1 0.500 0.500 0.500
```

# 3
VASP calculation (PBE) on a geometry-optimized CrNi2P2 structure.

The calculation puts the total energy at -66.2 eV for the cell shown.

Geometry as CIF:
```
data_CrNi2P2
_chemical_formula_sum 'Cr2 Ni4 P4'
_cell_length_a 6.146
_cell_length_b 6.146
_cell_length_c 3.089
_cell_angle_alpha 90.00
_cell_angle_beta 90.00
_cell_angle_gamma 90.00
_space_group_name_H-M_alt 'P 4/m b m'
_space_group_IT_number 127
_space_group_name_Hall '-P 4 2ab'
loop_
_atom_site_label
_atom_site_fract_x
_atom_site_fract_y
_atom_site_fract_z
Cr1 0.000 0.000 0.000
Ni1 0.144 0.356 0.500
P1 0.155 0.655 0.000
```

# 4
VASP calculation (PBE) on a geometry-optimized Cr2NiP structure.

The calculation puts the total energy at -118.5 eV for the cell shown.

Geometry as CIF:
```
data_Cr2NiP
_chemical_formula_sum 'Cr8 Ni4 P4'
_cell_length_a 6.455
_cell_length_b 6.455
_cell_length_c 4.727
_cell_angle_alpha 90.00
_cell_angle_beta 90.00
_cell_angle_gamma 90.00
_space_group_name_H-M_alt 'I -4 2 d'
_space_group_IT_number 122
_space_group_name_Hall 'I -4 2bw'
loop_
_atom_site_label
_atom_site_fract_x
_atom_site_fract_y
_atom_site_fract_z
Cr1 0.225 0.250 0.125
Ni1 0.000 0.000 0.500
P1 0.000 0.000 0.000
```

no.,E_form (meV/atom),total magnetization (μB per formula unit)
1,-318,6.88
2,-81,0.00
3,-224,0.01
4,203,1.07